(1)
BeZn2Ni | PBE-GGA | relaxed

Cell: 8.5997 8.5997 8.5997 Å, 17.28 17.28 17.28°
Last column: nearest neighbours and their distance in Å.
Fractional positions:
1 Ni 0.7590 0.7590 0.7590  3 Be 2.21
2 Zn 0.0090 0.0090 0.0090  6 Zn 2.58, 3 Ni 2.59
3 Zn 0.2422 0.2422 0.2422  6 Zn 2.58, 3 Be 2.64
4 Be 0.4898 0.4898 0.4898  3 Ni 2.21

Properties
Magnetic moment = 0.00 μB/cell


(2)
Ho4CdPdAu2 | PBE-GGA | relaxed

Cell: 5.0797 5.0797 8.8057 Å, 73.24 73.24 60.00°
Last column: nearest neighbours and their distance in Å.
Fractional positions:
1 Ho 0.3813 0.3813 0.8562  1 Pd 2.96, 4 Au 3.01-3.08, 3 Cd 3.17
2 Ho 0.8700 0.8700 0.3899  3 Pd 3.07, 4 Au 3.18-3.23, 1 Cd 3.24
3 Ho 0.1300 0.1300 0.6101  3 Pd 3.07, 4 Au 3.18-3.23, 1 Cd 3.24
4 Ho 0.6187 0.6187 0.1438  1 Pd 2.96, 4 Au 3.01-3.08, 3 Cd 3.17
5 Cd 0.0000 0.0000 0.0000  8 Ho 3.17-3.24, 6 Au 3.49
6 Pd 0.5000 0.5000 0.5000  8 Ho 2.96-3.07
7 Au 0.7423 0.7423 0.7730  8 Ho 3.01-3.23
8 Au 0.2577 0.2577 0.2270  8 Ho 3.01-3.23

Properties
Magnetic moment = 0.00 μB/cell


| no. | E_form (meV/atom) |
| --- | --- |
| 1 | -12 |
| 2 | -741 |